# KCr2Co, relaxed, DFT PBE-GGA
# formation enthalpy at 0 K = 114.4 kJ per mole of atoms
# SG = Imm2, No. 44
# ρ = 4.52 Mg/m³
# electronic total energy = -5.6768 eV/atom
data_KCr2Co
_cell_length_a 2.8466
_cell_length_b 5.3170
_cell_length_c 9.8072
_cell_angle_alpha 90.00
_cell_angle_beta 90.00
_cell_angle_gamma 90.00
_space_group_name_H-M_alt 'P 1'
_space_group_IT_number 1
loop_
_space_group_symop_operation_xyz
'x,y,z'
loop_
_atom_site_label
_atom_site_fract_x
_atom_site_fract_y
_atom_site_fract_z
_atom_site_occupancy
K1 0.0000 0.0000 0.0000 1
K2 0.5000 0.5000 0.5000 1
Cr1 0.0000 0.0000 0.4757 1
Cr2 0.0000 0.5000 0.1997 1
Cr3 0.5000 0.0000 0.6997 1
Cr4 0.5000 0.5000 0.9757 1
Co1 0.0000 0.5000 0.7794 1
Co2 0.5000 0.0000 0.2794 1

=====

# Re3SiAu, relaxed, DFT PBE-GGA
# formation energy (no corrections) = 3106 meV/atom
# SG = Pm-3m, No. 221
# ρ = 11.48 Mg/m³
# electronic total energy = -6.1029 eV/atom
data_Re3SiAu
_cell_length_a 4.8394
_cell_length_b 4.8394
_cell_length_c 4.8394
_cell_angle_alpha 90.00
_cell_angle_beta 90.00
_cell_angle_gamma 90.00
_space_group_name_H-M_alt 'P 1'
_space_group_IT_number 1
loop_
_space_group_symop_operation_xyz
'x,y,z'
loop_
_atom_site_label
_atom_site_fract_x
_atom_site_fract_y
_atom_site_fract_z
_atom_site_occupancy
Re1 0.0000 0.0000 0.5000 1
Re2 0.0000 0.5000 0.0000 1
Re3 0.5000 0.0000 0.0000 1
Si1 0.5000 0.5000 0.5000 1
Au1 0.0000 0.0000 0.0000 1

=====

# CrAsBr2, relaxed, DFT PBE-GGA
# formation energy (no corrections) = -166 meV/atom
# SG = P4mm, No. 99
# ρ = 4.24 Mg/m³
# electronic total energy = -4.5704 eV/atom
data_CrAsBr2
_cell_length_a 3.6886
_cell_length_b 3.6886
_cell_length_c 8.2438
_cell_angle_alpha 90.00
_cell_angle_beta 90.00
_cell_angle_gamma 90.00
_space_group_name_H-M_alt 'P 1'
_space_group_IT_number 1
loop_
_space_group_symop_operation_xyz
'x,y,z'
loop_
_atom_site_label
_atom_site_fract_x
_atom_site_fract_y
_atom_site_fract_z
_atom_site_occupancy
Cr1 0.0000 0.0000 0.0000 1
As1 0.5000 0.5000 0.9731 1
Br1 0.0000 0.0000 0.2825 1
Br2 0.5000 0.5000 0.6818 1

=====

# TbNd6Y4, relaxed, DFT PBE-GGA
# formation enthalpy at 0 K = 10.7 kJ per mole of atoms
# SG = Cmcm, No. 63
# ρ = 6.11 Mg/m³
# electronic total energy = -5.2616 eV/atom
data_TbNd6Y4
_cell_length_a 5.7075
_cell_length_b 5.7075
_cell_length_c 26.0417
_cell_angle_alpha 90.00
_cell_angle_beta 90.00
_cell_angle_gamma 117.89
_space_group_name_H-M_alt 'P 1'
_space_group_IT_number 1
loop_
_space_group_symop_operation_xyz
'x,y,z'
loop_
_atom_site_label
_atom_site_fract_x
_atom_site_fract_y
_atom_site_fract_z
_atom_site_occupancy
Tb1 0.2095 0.7905 0.7500 1
Tb2 0.7905 0.2095 0.2500 1
Nd1 0.1263 0.8737 0.1826 1
Nd2 0.1263 0.8737 0.3174 1
Nd3 0.1974 0.8026 0.6015 1
Nd4 0.1974 0.8026 0.8985 1
Nd5 0.4524 0.5476 0.2500 1
Nd6 0.5000 0.5000 0.0000 1
Nd7 0.5000 0.5000 0.5000 1
Nd8 0.5476 0.4524 0.7500 1
Nd9 0.8026 0.1974 0.1015 1
Nd10 0.8026 0.1974 0.3985 1
Nd11 0.8737 0.1263 0.6826 1
Nd12 0.8737 0.1263 0.8174 1
Y1 0.1512 0.8488 0.0443 1
Y2 0.1512 0.8488 0.4557 1
Y3 0.4611 0.5389 0.1241 1
Y4 0.4611 0.5389 0.3759 1
Y5 0.5389 0.4611 0.6241 1
Y6 0.5389 0.4611 0.8759 1
Y7 0.8488 0.1512 0.5443 1
Y8 0.8488 0.1512 0.9557 1

=====

# Y4TmSc3, relaxed, DFT PBE-GGA
# formation enthalpy at 0 K = 6.3 kJ per mole of atoms
# SG = C2/m, No. 12
# ρ = 4.73 Mg/m³
# electronic total energy = -6.1004 eV/atom
data_Y4TmSc3
_cell_length_a 11.8769
_cell_length_b 6.9160
_cell_length_c 5.9801
_cell_angle_alpha 90.00
_cell_angle_beta 109.58
_cell_angle_gamma 90.00
_space_group_name_H-M_alt 'P 1'
_space_group_IT_number 1
loop_
_space_group_symop_operation_xyz
'x,y,z'
loop_
_atom_site_label
_atom_site_fract_x
_atom_site_fract_y
_atom_site_fract_z
_atom_site_occupancy
Y1 0.2479 0.0000 0.4950 1
Y2 0.2500 0.2500 0.0000 1
Y3 0.2500 0.7500 0.0000 1
Y4 0.2521 0.5000 0.5050 1
Y5 0.7479 0.5000 0.4950 1
Y6 0.7500 0.2500 0.0000 1
Y7 0.7500 0.7500 0.0000 1
Y8 0.7521 0.0000 0.5050 1
Tm1 0.0000 0.5000 0.0000 1
Tm2 0.5000 0.0000 0.0000 1
Sc1 0.0000 0.0000 0.0000 1
Sc2 0.0000 0.2475 0.5000 1
Sc3 0.0000 0.7525 0.5000 1
Sc4 0.5000 0.2525 0.5000 1
Sc5 0.5000 0.5000 0.0000 1
Sc6 0.5000 0.7475 0.5000 1

=====

# Ba2CdOs, relaxed, DFT PBE-GGA
# formation enthalpy at 0 K = 37.0 kJ per mole of atoms
# SG = Amm2, No. 38
# ρ = 6.97 Mg/m³
# electronic total energy = -3.6140 eV/atom
data_Ba2CdOs
_cell_length_a 4.7922
_cell_length_b 4.7921
_cell_length_c 11.9773
_cell_angle_alpha 90.00
_cell_angle_beta 90.00
_cell_angle_gamma 90.00
_space_group_name_H-M_alt 'P 1'
_space_group_IT_number 1
loop_
_space_group_symop_operation_xyz
'x,y,z'
loop_
_atom_site_label
_atom_site_fract_x
_atom_site_fract_y
_atom_site_fract_z
_atom_site_occupancy
Ba1 0.0000 0.0000 0.0000 1
Ba2 0.0000 0.5000 0.5000 1
Ba3 0.5000 0.0000 0.2815 1
Ba4 0.5000 0.5000 0.7815 1
Cd1 0.5000 0.0000 0.5832 1
Cd2 0.5000 0.5000 0.0832 1
Os1 0.0000 0.0000 0.6910 1
Os2 0.0000 0.5000 0.1910 1

=====

# SbTeN2O, relaxed, DFT PBE-GGA
# formation energy (no corrections) = 1786 meV/atom
# SG = P4/mmm, No. 123
# ρ = 6.56 Mg/m³
# electronic total energy = -3.9882 eV/atom
data_SbTeN2O
_cell_length_a 4.2248
_cell_length_b 4.2248
_cell_length_c 4.1579
_cell_angle_alpha 90.00
_cell_angle_beta 90.00
_cell_angle_gamma 90.00
_space_group_name_H-M_alt 'P 1'
_space_group_IT_number 1
loop_
_space_group_symop_operation_xyz
'x,y,z'
loop_
_atom_site_label
_atom_site_fract_x
_atom_site_fract_y
_atom_site_fract_z
_atom_site_occupancy
Sb1 0.0000 0.0000 0.0000 1
Te1 0.5000 0.5000 0.0000 1
N1 0.0000 0.5000 0.5000 1
N2 0.5000 0.0000 0.5000 1
O1 0.5000 0.5000 0.5000 1

=====

# CrCuBiCl2, relaxed, DFT PBE-GGA
# formation energy (no corrections) = 580 meV/atom
# SG = P4/mmm, No. 123
# ρ = 3.97 Mg/m³
# electronic total energy = -3.6792 eV/atom
data_CrCuBiCl2
_cell_length_a 5.3921
_cell_length_b 5.3921
_cell_length_c 5.6906
_cell_angle_alpha 90.00
_cell_angle_beta 90.00
_cell_angle_gamma 90.00
_space_group_name_H-M_alt 'P 1'
_space_group_IT_number 1
loop_
_space_group_symop_operation_xyz
'x,y,z'
loop_
_atom_site_label
_atom_site_fract_x
_atom_site_fract_y
_atom_site_fract_z
_atom_site_occupancy
Cr1 0.0000 0.0000 0.0000 1
Cu1 0.5000 0.5000 0.0000 1
Bi1 0.0000 0.0000 0.5000 1
Cl1 0.0000 0.5000 0.5000 1
Cl2 0.5000 0.0000 0.5000 1

=====

# Mn2SiP, relaxed, DFT PBE-GGA
# formation energy (no corrections) = -318 meV/atom
# SG = P4mm, No. 99
# ρ = 6.11 Mg/m³
# electronic total energy = -7.6107 eV/atom
data_Mn2SiP
_cell_length_a 3.0216
_cell_length_b 3.0216
_cell_length_c 5.0279
_cell_angle_alpha 90.00
_cell_angle_beta 90.00
_cell_angle_gamma 90.00
_space_group_name_H-M_alt 'P 1'
_space_group_IT_number 1
loop_
_space_group_symop_operation_xyz
'x,y,z'
loop_
_atom_site_label
_atom_site_fract_x
_atom_site_fract_y
_atom_site_fract_z
_atom_site_occupancy
Mn1 0.0000 0.0000 0.0000 1
Mn2 0.5000 0.5000 0.3327 1
Si1 0.5000 0.5000 0.8091 1
P1 0.0000 0.0000 0.5163 1

=====

# VAg3H, relaxed, DFT PBE-GGA
# SG = Pm-3m, No. 221
# ρ = 8.39 Mg/m³
# electronic total energy = -3.6939 eV/atom
data_VAg3H
_cell_length_a 4.2053
_cell_length_b 4.2053
_cell_length_c 4.2053
_cell_angle_alpha 90.00
_cell_angle_beta 90.00
_cell_angle_gamma 90.00
_space_group_name_H-M_alt 'P 1'
_space_group_IT_number 1
loop_
_space_group_symop_operation_xyz
'x,y,z'
loop_
_atom_site_label
_atom_site_fract_x
_atom_site_fract_y
_atom_site_fract_z
_atom_site_occupancy
V1 0.0000 0.0000 0.0000 1
Ag1 0.0000 0.5000 0.5000 1
Ag2 0.5000 0.0000 0.5000 1
Ag3 0.5000 0.5000 0.0000 1
H1 0.5000 0.5000 0.5000 1

=====

# Pm9Pr4Tl11, relaxed, DFT PBE-GGA
# formation enthalpy at 0 K = -30.5 kJ per mole of atoms
# SG = Cmmm, No. 65
# ρ = 9.53 Mg/m³
# electronic total energy = -3.9787 eV/atom
data_Pm9Pr4Tl11
_cell_length_a 14.4228
_cell_length_b 14.4228
_cell_length_c 3.6628
_cell_angle_alpha 90.00
_cell_angle_beta 90.00
_cell_angle_gamma 109.74
_space_group_name_H-M_alt 'P 1'
_space_group_IT_number 1
loop_
_space_group_symop_operation_xyz
'x,y,z'
loop_
_atom_site_label
_atom_site_fract_x
_atom_site_fract_y
_atom_site_fract_z
_atom_site_occupancy
Pm1 0.0000 0.0000 0.0000 1
Pm2 0.1122 0.6593 0.0000 1
Pm3 0.2965 0.4852 0.0000 1
Pm4 0.3407 0.8878 0.0000 1
Pm5 0.4852 0.2965 0.0000 1
Pm6 0.5148 0.7035 0.0000 1
Pm7 0.6593 0.1122 0.0000 1
Pm8 0.7035 0.5148 0.0000 1
Pm9 0.8878 0.3407 0.0000 1
Pr1 0.0865 0.2506 0.0000 1
Pr2 0.2506 0.0865 0.0000 1
Pr3 0.7494 0.9135 0.0000 1
Pr4 0.9135 0.7494 0.0000 1
Tl1 0.0905 0.4540 0.5000 1
Tl2 0.1235 0.8765 0.5000 1
Tl3 0.2917 0.2917 0.5000 1
Tl4 0.3129 0.6871 0.5000 1
Tl5 0.4540 0.0905 0.5000 1
Tl6 0.5000 0.5000 0.5000 1
Tl7 0.5460 0.9095 0.5000 1
Tl8 0.6871 0.3129 0.5000 1
Tl9 0.7083 0.7083 0.5000 1
Tl10 0.8765 0.1235 0.5000 1
Tl11 0.9095 0.5460 0.5000 1

=====

# TaRu2W, relaxed, DFT PBE-GGA
# formation enthalpy at 0 K = 127.0 kJ per mole of atoms
# SG = I-42d, No. 122
# ρ = 10.23 Mg/m³
# electronic total energy = -9.5228 eV/atom
data_TaRu2W
_cell_length_a 5.7082
_cell_length_b 5.7082
_cell_length_c 11.2921
_cell_angle_alpha 90.00
_cell_angle_beta 90.00
_cell_angle_gamma 90.00
_space_group_name_H-M_alt 'P 1'
_space_group_IT_number 1
loop_
_space_group_symop_operation_xyz
'x,y,z'
loop_
_atom_site_label
_atom_site_fract_x
_atom_site_fract_y
_atom_site_fract_z
_atom_site_occupancy
Ta1 0.0000 0.0000 0.0000 1
Ta2 0.0000 0.5000 0.2500 1
Ta3 0.5000 0.0000 0.7500 1
Ta4 0.5000 0.5000 0.5000 1
Ru1 0.2401 0.2500 0.6250 1
Ru2 0.2500 0.7401 0.8750 1
Ru3 0.2500 0.7599 0.3750 1
Ru4 0.2599 0.2500 0.1250 1
Ru5 0.7401 0.7500 0.1250 1
Ru6 0.7500 0.2401 0.3750 1
Ru7 0.7500 0.2599 0.8750 1
Ru8 0.7599 0.7500 0.6250 1
W1 0.0000 0.0000 0.5000 1
W2 0.0000 0.5000 0.7500 1
W3 0.5000 0.0000 0.2500 1
W4 0.5000 0.5000 0.0000 1